The following is a PBE-GGA calculation of crystalline NdTmZnRh at its relaxed geometry, from Alexandria via LeMat-Bulk.

Calculated values
raw total energy: -0.369 Ry/atom
E_form: -0.55 eV per atom
magnetic moment: 0.000 μB/atom

Cell: 4.992 4.992 4.992 Å, 60.00 60.00 60.00°
Sites, in units of the cell vectors:
Rh 0.500 0.500 0.500
Zn 0.000 0.000 0.000
Tm 0.250 0.250 0.250
Nd 0.750 0.750 0.750